Model P:
## MgBe3Pd (PBE)

Data for an optimized crystal structure of MgBe3Pd.

Cell and atoms, written as POSCAR:
```
MgBe3Pd
1.0
4.264 0.000 0.000
0.000 4.264 0.000
0.000 0.000 4.264
Mg Be Pd
1 3 1
Cartesian
0.000 0.000 0.000 Mg
0.000 2.132 2.132 Be
2.132 0.000 2.132 Be
2.132 2.132 0.000 Be
2.132 2.132 2.132 Pd
```

Output
Space group: Pm-3m (221)
Spin magnetization (μB per cell): 0.00

=====

Model Q:
## MgBe3Pd (PBE)

Data for an optimized crystal structure of MgBe3Pd.

Cell and atoms, written as POSCAR:
```
MgBe3Pd
1.0
4.261 0.000 0.000
0.000 4.261 0.000
0.000 0.000 4.261
Mg Be Pd
1 3 1
Cartesian
0.000 0.000 0.000 Mg
0.000 0.000 2.131 Be
0.000 2.131 0.000 Be
2.131 0.000 0.000 Be
2.131 2.131 2.131 Pd
```

Output
Space group: Pm-3m (221)
Spin magnetization (μB per cell): 0.00

=====

Which structure is the least stable? The one labeled model Q.

=====

Model P:
## MgBePt3 (PBE)

Data for an optimized crystal structure of MgBePt3.

Cell and atoms, written as POSCAR:
```
MgBePt3
1.0
4.247 0.000 0.000
0.000 4.247 0.000
0.000 0.000 4.247
Mg Be Pt
1 1 3
Cartesian
0.000 0.000 0.000 Mg
2.123 2.123 2.123 Be
0.000 2.123 2.123 Pt
2.123 0.000 2.123 Pt
2.123 2.123 0.000 Pt
```

Output
Space group: Pm-3m (221)
Spin magnetization (μB per cell): 0.00

=====

Model Q:
## MgBePt3 (PBE)

Data for an optimized crystal structure of MgBePt3.

Cell and atoms, written as POSCAR:
```
MgBePt3
1.0
4.557 0.000 0.000
0.000 4.557 0.000
0.000 0.000 4.557
Mg Be Pt
1 1 3
Cartesian
0.000 0.000 0.000 Mg
2.278 2.278 2.278 Be
0.000 0.000 2.278 Pt
0.000 2.278 0.000 Pt
2.278 0.000 0.000 Pt
```

Output
Space group: Pm-3m (221)
Spin magnetization (μB per cell): 0.00

=====

Which structure is the least stable? The one labeled model Q.

=====

Model P:
## MgBeRe (PBE)

Data for an optimized crystal structure of MgBeRe.

Cell and atoms, written as POSCAR:
```
MgBeRe
1.0
0.000 2.176 6.304
1.556 0.000 6.304
1.556 2.176 0.000
Mg Be Re
1 1 1
Cartesian
0.000 0.000 0.000 Mg
1.556 2.176 4.149 Be
1.556 2.176 8.645 Re
```

Output
Space group: Fmm2 (42)
Spin magnetization (μB per cell): 0.00

=====

Model Q:
## MgBeRe (PBE)

Data for an optimized crystal structure of MgBeRe.

Cell and atoms, written as POSCAR:
```
MgBeRe
1.0
4.267 0.000 0.000
-2.133 3.695 0.000
0.000 0.000 2.636
Mg Be Re
1 1 1
Cartesian
0.000 0.000 0.000 Mg
0.000 2.463 1.896 Be
2.133 1.232 1.207 Re
```

Output
Space group: P3m1 (156)
Spin magnetization (μB per cell): 0.00

=====

Which structure is the least stable? The one labeled model Q.

=====

Model P:
## MgBe3Rh (PBE)

Data for an optimized crystal structure of MgBe3Rh.

Cell and atoms, written as POSCAR:
```
MgBe3Rh
1.0
4.138 0.000 0.000
0.000 4.138 0.000
0.000 0.000 4.138
Mg Be Rh
1 3 1
Cartesian
0.000 0.000 0.000 Mg
0.000 0.000 2.069 Be
0.000 2.069 0.000 Be
2.069 0.000 0.000 Be
2.069 2.069 2.069 Rh
```

Output
Space group: Pm-3m (221)
Spin magnetization (μB per cell): 0.00

=====

Model Q:
## MgBe3Rh (PBE)

Data for an optimized crystal structure of MgBe3Rh.

Cell and atoms, written as POSCAR:
```
MgBe3Rh
1.0
4.208 0.000 0.000
0.000 4.208 0.000
0.000 0.000 4.208
Mg Be Rh
1 3 1
Cartesian
0.000 0.000 0.000 Mg
0.000 2.104 2.104 Be
2.104 0.000 2.104 Be
2.104 2.104 0.000 Be
2.104 2.104 2.104 Rh
```

Output
Space group: Pm-3m (221)
Spin magnetization (μB per cell): 0.00

=====

Which structure is the least stable? The one labeled model P.

=====

Model P:
## MgBe2Rh2 (PBE)

Data for an optimized crystal structure of MgBe2Rh2.

Cell and atoms, written as POSCAR:
```
MgBe2Rh2
1.0
6.354 0.000 0.000
0.000 6.354 0.000
0.000 0.000 2.940
Mg Be Rh
2 4 4
Cartesian
0.000 0.000 0.000 Mg
3.177 3.177 0.000 Mg
0.777 2.400 0.000 Be
2.400 5.577 0.000 Be
3.954 0.777 0.000 Be
5.577 3.954 0.000 Be
1.053 4.230 1.470 Rh
2.124 1.053 1.470 Rh
4.230 5.301 1.470 Rh
5.301 2.124 1.470 Rh
```

Output
Space group: P4/mbm (127)
Spin magnetization (μB per cell): 0.00

=====

Model Q:
## MgBe2Rh2 (PBE)

Data for an optimized crystal structure of MgBe2Rh2.

Cell and atoms, written as POSCAR:
```
MgBe2Rh2
1.0
-1.592 1.592 6.330
1.592 -1.592 6.330
1.592 1.592 -6.330
Mg Be Rh
1 2 2
Cartesian
0.000 0.000 0.000 Mg
1.592 0.000 3.165 Be
0.000 1.592 3.165 Be
0.000 0.000 4.805 Rh
0.000 0.000 7.856 Rh
```

Output
Space group: I4/mmm (139)
Spin magnetization (μB per cell): 0.00

=====

Which structure is the least stable? The one labeled model Q.

=====

Model P:
## Mg3BeRh (PBE)

Data for an optimized crystal structure of Mg3BeRh.

Cell and atoms, written as POSCAR:
```
Mg3BeRh
1.0
4.879 0.000 0.000
0.000 4.879 0.000
0.000 0.000 4.879
Mg Be Rh
3 1 1
Cartesian
0.000 0.000 2.439 Mg
0.000 2.439 0.000 Mg
2.439 0.000 0.000 Mg
2.439 2.439 2.439 Be
0.000 0.000 0.000 Rh
```

Output
Space group: Pm-3m (221)
Spin magnetization (μB per cell): 0.00

=====

Model Q:
## Mg3BeRh (PBE)

Data for an optimized crystal structure of Mg3BeRh.

Cell and atoms, written as POSCAR:
```
Mg3BeRh
1.0
4.536 0.000 0.000
0.000 4.536 0.000
0.000 0.000 4.536
Mg Be Rh
3 1 1
Cartesian
0.000 0.000 2.268 Mg
0.000 2.268 0.000 Mg
2.268 0.000 0.000 Mg
0.000 0.000 0.000 Be
2.268 2.268 2.268 Rh
```

Output
Space group: Pm-3m (221)
Spin magnetization (μB per cell): 0.00

=====

Which structure is the least stable? The one labeled model Q.